(1)
DFT (PBE) results for crystalline TcSnHgGe2 at its relaxed geometry.

a b c (Å): 4.818 4.818 5.302
angles (deg): 90.00 90.00 90.00
Space group P4/mmm (No. 123)
Inequivalent atoms, fractional coordinates:
Tc (0.000, 0.000, 0.000) x1
Sn (0.000, 0.000, 0.500) x1
Hg (0.500, 0.500, 0.500) x1
Ge (0.000, 0.500, 0.000) x2

Computed properties:
Mass density (g/cm³): 7.59
D(E_F) (states/eV per cell): 2.81


(2)
DFT (PBE) results for crystalline TcSn2HgGe at its relaxed geometry.

a b c (Å): 5.245 5.245 4.787
angles (deg): 90.00 90.00 90.00
Space group P4/mmm (No. 123)
Inequivalent atoms, fractional coordinates:
Tc (0.000, 0.000, 0.000) x1
Sn (0.000, 0.500, 0.000) x2
Hg (0.500, 0.500, 0.500) x1
Ge (0.000, 0.000, 0.500) x1

Computed properties:
Mass density (g/cm³): 7.67
D(E_F) (states/eV per cell): 2.95


(3)
DFT (PBE) results for crystalline TlSnHg2Ge at its relaxed geometry.

a b c (Å): 5.614 5.614 5.413
angles (deg): 90.00 90.00 90.00
Space group P4/mmm (No. 123)
Inequivalent atoms, fractional coordinates:
Tl (0.000, 0.000, 0.000) x1
Sn (0.500, 0.500, 0.500) x1
Hg (0.000, 0.500, 0.000) x2
Ge (0.000, 0.000, 0.500) x1

Computed properties:
Mass density (g/cm³): 7.76
D(E_F) (states/eV per cell): 4.06


(4)
DFT (PBE) results for crystalline ZnSnHgGe at its relaxed geometry.

a b c (Å): 7.129 7.129 7.129
angles (deg): 90.00 90.00 90.00
Space group F-43m (No. 216)
Inequivalent atoms, fractional coordinates:
Zn (0.000, 0.000, 0.000) x4
Sn (0.000, 0.000, 0.500) x4
Hg (0.250, 0.250, 0.250) x4
Ge (0.250, 0.250, 0.750) x4

Computed properties:
Mass density (g/cm³): 8.38
D(E_F) (states/eV per cell): 6.24


(5)
DFT (PBE) results for crystalline Zr2SnHgGe at its relaxed geometry.

a b c (Å): 5.407 5.407 5.151
angles (deg): 90.00 90.00 90.00
Space group P4/mmm (No. 123)
Inequivalent atoms, fractional coordinates:
Zr (0.000, 0.500, 0.000) x2
Sn (0.000, 0.000, 0.000) x1
Hg (0.000, 0.000, 0.500) x1
Ge (0.500, 0.500, 0.500) x1

Computed properties:
Mass density (g/cm³): 6.33
D(E_F) (states/eV per cell): 6.50


(6)
DFT (PBE) results for crystalline Sr3Hg5Ge2 at its relaxed geometry.

a b c (Å): 12.984 13.619 7.160
angles (deg): 90.00 116.84 90.00
Space group C2/c (No. 15)
Inequivalent atoms, fractional coordinates:
Sr (0.000, 0.091, 0.250) x4
Sr (0.133, 0.328, 0.050) x8
Hg (0.000, 0.477, 0.250) x4
Hg (0.149, 0.297, 0.529) x8
Hg (0.235, 0.033, 0.168) x8
Ge (0.100, 0.135, 0.766) x8

Computed properties:
Mass density (g/cm³): 8.30
D(E_F) (states/eV per cell): 17.70


In order of appearance, size of the total moment = 0.00 0.00 0.00 0.00 0.15 0.00 μB per atom.
In order of appearance, VASP energy = -0.170 -0.166 -0.061 -0.086 -0.157 -0.073 Ha/atom.
In order of appearance, E_form = 0.15 0.13 0.65 0.21 0.93 -0.40 eV per atom.